Here is a geometry-optimized CdReTcS2 structure from Alexandria via LeMat-Bulk. Energies are from PBE.

The total moment is 4.24 μB/f.u. Its uncorrected formation energy is 99.27 kJ/mol of atoms. The calculation puts the density at 6.8 g cm⁻³.

Lattice parameters (Å, degrees): 4.491 4.491 5.580 90.00 90.00 90.00
Space group P4/mmm (No. 123)
Unique sites:
1 Cd 0.000 0.000 0.000 x1
2 Re 0.000 0.000 0.500 x1
3 Tc 0.500 0.500 0.000 x1
4 S 0.000 0.500 0.500 x2